[1]
Ac2Nd4Y3, optimized geometry, DFT PBE; energy of formation from the pure elements = 0.0713 eV/atom; DOS at the Fermi energy = 16.8 states/eV/cell; offset from the most stable computed form = 33 meV per atom; magnetization = 0.00 μB per formula unit
1.0
3.7409 0.0000 0.0000
-1.8704 3.2397 0.0000
0.0000 0.0000 27.4981
Ac Nd Y
2 4 3
Cartesian
0.0000 0.0000 0.0000
0.0000 0.0000 6.0785
0.0000 0.0000 9.8048
0.0000 0.0000 15.5299
0.0000 2.1598 18.5164
0.0000 2.1598 24.2822
0.0000 0.0000 21.4175
0.0000 2.1598 3.0756
0.0000 2.1598 12.6194

[2]
AcNd3Y7, optimized geometry, DFT PBE; energy of formation from the pure elements = 0.1970 eV/atom; DOS at the Fermi energy = 18.4 states/eV/cell; offset from the most stable computed form = 0 meV per atom; magnetization = 0.00 μB per formula unit
1.0
7.1927 0.0000 0.0000
-3.5963 6.2291 0.0000
0.0000 0.0000 8.8445
Ac Nd Y
1 3 7
Cartesian
0.0000 0.0000 0.0000
0.0000 2.0903 3.0141
-1.7861 5.1839 3.0141
1.7861 5.1839 3.0141
-1.7883 3.1202 8.8410
0.0000 4.1527 5.9667
1.8035 1.0412 5.9264
1.7883 3.1202 8.8410
0.0000 6.2176 8.8410
5.3892 1.0412 5.9264
3.5964 4.1466 5.9264

[3]
Ac6NdY, optimized geometry, DFT PBE; energy of formation from the pure elements = 0.0245 eV/atom; DOS at the Fermi energy = 12.6 states/eV/cell; offset from the most stable computed form = 0 meV per atom; magnetization = 0.00 μB per formula unit
1.0
5.5157 0.0000 0.0000
0.0000 5.5157 0.0000
0.0000 0.0000 11.0349
Ac Nd Y
6 1 1
Cartesian
0.0000 0.0000 0.0000
0.0000 0.0000 5.5175
0.0000 2.7578 2.7475
0.0000 2.7578 8.2874
2.7578 0.0000 2.7475
2.7578 0.0000 8.2874
2.7578 2.7578 5.5175
2.7578 2.7578 0.0000

[4]
AcNd6Y12, optimized geometry, DFT PBE; energy of formation from the pure elements = 0.1972 eV/atom; DOS at the Fermi energy = 33.0 states/eV/cell; magnetization = 0.00 μB per formula unit
1.0
6.7602 3.9030 4.2106
-6.7602 3.9030 4.2106
0.0000 -7.8060 4.2106
Ac Nd Y
1 6 12
Cartesian
0.0000 0.0000 0.0000
0.0000 -4.2991 3.6089
-3.7232 2.1496 3.6089
-3.7232 -2.1496 9.0230
3.7232 2.1496 3.6089
3.7232 -2.1496 9.0230
0.0000 4.2992 9.0230
-1.8540 -1.0704 3.3211
-1.7498 -3.0308 6.3159
-3.4996 0.0000 6.3159
1.8540 -1.0704 3.3211
0.0000 2.1408 3.3211
1.7498 -3.0308 6.3159
-1.7498 3.0308 6.3159
0.0000 -2.1408 9.3108
-1.8540 1.0704 9.3108
3.4996 0.0000 6.3159
1.7498 3.0308 6.3159
1.8540 1.0704 9.3108

[5]
Ac2Nd5Y12, optimized geometry, DFT PBE; energy of formation from the pure elements = 0.1177 eV/atom; DOS at the Fermi energy = 25.8 states/eV/cell; magnetization = 0.00 μB per formula unit
1.0
7.2183 0.0000 0.0000
-3.5485 6.3561 0.0000
-1.6312 -1.6895 14.4145
Ac Nd Y
2 5 12
Cartesian
0.0808 0.7317 7.1475
1.9578 3.9349 7.2671
-1.7742 3.1781 0.0000
-1.6742 3.9104 7.1493
-1.5690 4.0003 12.9327
3.6077 0.6664 1.4819
3.7129 0.7563 7.2653
-3.4493 4.9751 4.2146
-1.6755 1.8520 4.0981
0.2256 0.5922 1.4885
0.1780 0.7238 13.0082
0.1029 2.8371 10.1255
1.8989 -0.3717 10.1502
0.1397 5.0383 4.2644
1.9358 1.8296 4.2890
1.8606 3.9429 1.4064
1.8131 4.0745 12.9260
3.7141 2.8146 10.3165
5.4880 -0.3084 10.2000

[6]
AcNd7Y4, optimized geometry, DFT PBE; energy of formation from the pure elements = 0.0072 eV/atom; DOS at the Fermi energy = 18.3 states/eV/cell; offset from the most stable computed form = 0 meV per atom; magnetization = 0.00 μB per formula unit
1.0
6.4153 0.0000 0.0000
-0.0120 7.3955 0.0000
-2.1373 -0.0159 8.8748
Ac Nd Y
1 7 4
Cartesian
0.0000 0.0000 0.0000
-0.0060 3.6977 0.0000
0.0178 7.3755 5.8754
1.0763 5.5205 2.9889
1.0554 5.4901 8.8704
3.2106 1.8895 0.0044
3.1897 1.8591 5.8859
4.2482 0.0041 2.9994
-0.0306 3.6794 5.9028
1.0774 1.8959 2.9768
3.1886 5.4837 5.8980
4.2966 3.7002 2.9720